Compound: Pm2Nd2Y15
Source: Alexandria via LeMat-Bulk
Functional: GGA-PBE
Structure: optimized geometry

CIF file:
```
data_Pm2Nd2Y15
_chemical_formula_sum 'Pm6 Nd6 Y45'
_space_group_name_H-M_alt 'R -3 m'
_space_group_IT_number 166
_space_group_name_Hall '-R 3 2"'
_cell_length_a 11.3309
_cell_length_b 11.3309
_cell_length_c 17.7212
_cell_angle_alpha 90.00
_cell_angle_beta 90.00
_cell_angle_gamma 120.00
loop_
_atom_site_label
_atom_site_fract_x
_atom_site_fract_y
_atom_site_fract_z
_atom_site_occupancy
Pm1 0.0000 0.0000 0.1714 1
Nd1 0.0000 0.0000 0.3852 1
Y1 0.0000 0.3012 0.5000 1
Y2 0.0000 0.5000 0.0000 1
Y3 0.0142 0.5071 0.6383 1
```

Output
DFT formation energy = 0.287 eV per atom
Crystal system = trigonal
Raw total energy = -331.61 eV/cell

Compound: Pm4NdY7
Source: Alexandria via LeMat-Bulk
Functional: GGA-PBE
Structure: optimized geometry

CIF file:
```
data_Pm4NdY7
_chemical_formula_sum 'Pm8 Nd2 Y14'
_space_group_name_H-M_alt 'C 1 2/m 1'
_space_group_IT_number 12
_cell_length_a 12.217
_cell_length_b 5.936
_cell_length_c 12.860
_cell_angle_alpha 90.00
_cell_angle_beta 117.48
_cell_angle_gamma 90.00
loop_
_space_group_symop_operation_xyz
'x,y,z'
'-x,-y,-z'
'-x,y,-z'
'x,-y,z'
'x+1/2,y+1/2,z'
'-x+1/2,-y+1/2,-z'
'-x+1/2,y+1/2,-z'
'x+1/2,-y+1/2,z'
loop_
_atom_site_label
_atom_site_fract_x
_atom_site_fract_y
_atom_site_fract_z
_atom_site_occupancy
Pm1 0.137 0.000 0.276 1
Pm2 0.229 0.500 0.170 1
Nd1 0.000 0.500 0.500 1
Y1 0.000 0.000 0.500 1
Y2 0.067 0.500 0.817 1
Y3 0.133 0.000 0.997 1
Y4 0.210 0.500 0.423 1
```

Output
Relative energy among the computed polymorphs = 182.0 meV per atom
DFT formation energy = 0.262 eV per atom
Crystal system = monoclinic
Raw total energy = -131.75 eV/cell

Compound: Pm2NdY
Source: Alexandria via LeMat-Bulk
Functional: GGA-PBE
Structure: optimized geometry

CIF file:
```
data_Pm2NdY
_chemical_formula_sum 'Pm4 Nd2 Y2'
_space_group_name_H-M_alt 'I -4 m 2'
_space_group_IT_number 119
_space_group_name_Hall 'I -4 -2'
_cell_length_a 5.160
_cell_length_b 5.160
_cell_length_c 10.252
_cell_angle_alpha 90.00
_cell_angle_beta 90.00
_cell_angle_gamma 90.00
loop_
_atom_site_label
_atom_site_fract_x
_atom_site_fract_y
_atom_site_fract_z
_atom_site_occupancy
Pm1 0.000 0.000 0.000 1
Pm2 0.000 0.500 0.250 1
Nd1 0.000 0.500 0.750 1
Y1 0.000 0.000 0.500 1
```

Output
Relative energy among the computed polymorphs = 4.2 meV per atom
DFT formation energy = 0.014 eV per atom
Crystal system = tetragonal
Raw total energy = -41.36 eV/cell

Compound: Pm3Nd2Y3
Source: Alexandria via LeMat-Bulk
Functional: GGA-PBE
Structure: optimized geometry

CIF file:
```
data_Pm3Nd2Y3
_chemical_formula_sum 'Pm12 Nd8 Y12'
_space_group_name_H-M_alt 'C m c m'
_space_group_IT_number 63
_space_group_name_Hall '-C 2c 2'
_cell_length_a 5.656
_cell_length_b 12.022
_cell_length_c 16.181
_cell_angle_alpha 90.00
_cell_angle_beta 90.00
_cell_angle_gamma 90.00
loop_
_atom_site_label
_atom_site_fract_x
_atom_site_fract_y
_atom_site_fract_z
_atom_site_occupancy
Pm1 0.000 0.076 0.094 1
Pm2 0.000 0.261 0.250 1
Nd1 0.000 0.220 0.630 1
Y1 0.000 0.379 0.049 1
Y2 0.000 0.463 0.750 1
```

Output
Relative energy among the computed polymorphs = 107.3 meV per atom
DFT formation energy = 0.124 eV per atom
Crystal system = orthorhombic
Raw total energy = -168.76 eV/cell

Compound: Pm3Nd2Y7
Source: Alexandria via LeMat-Bulk
Functional: GGA-PBE
Structure: optimized geometry

CIF file:
```
data_Pm3Nd2Y7
_chemical_formula_sum 'Pm3 Nd2 Y7'
_space_group_name_H-M_alt 'P 1 2/m 1'
_space_group_IT_number 10
_cell_length_a 5.886
_cell_length_b 3.615
_cell_length_c 18.987
_cell_angle_alpha 90.00
_cell_angle_beta 93.29
_cell_angle_gamma 90.00
loop_
_space_group_symop_operation_xyz
'x,y,z'
'-x,-y,-z'
'-x,y,-z'
'x,-y,z'
loop_
_atom_site_label
_atom_site_fract_x
_atom_site_fract_y
_atom_site_fract_z
_atom_site_occupancy
Pm1 0.000 0.000 0.000 1
Pm2 0.277 0.500 0.632 1
Nd1 0.209 0.000 0.293 1
Y1 0.187 0.500 0.142 1
Y2 0.243 0.000 0.462 1
Y3 0.310 0.000 0.826 1
Y4 0.500 0.500 0.000 1
```

Output
Relative energy among the computed polymorphs = 0.0 meV per atom
DFT formation energy = 0.083 eV per atom
Crystal system = monoclinic
Raw total energy = -68.04 eV/cell

Compound: PmNd2Y3
Source: Alexandria via LeMat-Bulk
Functional: GGA-PBE
Structure: optimized geometry

CIF file:
```
data_PmNd2Y3
_chemical_formula_sum 'Pm2 Nd4 Y6'
_space_group_name_H-M_alt 'P n n m'
_space_group_IT_number 58
_cell_length_a 6.688
_cell_length_b 17.839
_cell_length_c 3.435
_cell_angle_alpha 90.00
_cell_angle_beta 90.00
_cell_angle_gamma 90.00
loop_
_space_group_symop_operation_xyz
'x,y,z'
'-x,-y,-z'
'-x,-y,z'
'x,y,-z'
'x+1/2,-y+1/2,-z+1/2'
'-x+1/2,y+1/2,z+1/2'
'-x+1/2,y+1/2,-z+1/2'
'x+1/2,-y+1/2,z+1/2'
loop_
_atom_site_label
_atom_site_fract_x
_atom_site_fract_y
_atom_site_fract_z
_atom_site_occupancy
Pm1 0.000 0.000 0.000 1
Nd1 0.231 0.350 0.500 1
Y1 0.000 0.500 0.000 1
Y2 0.235 0.180 0.000 1
```

Output
Relative energy among the computed polymorphs = 184.5 meV per atom
DFT formation energy = 0.247 eV per atom
Crystal system = orthorhombic
Raw total energy = -64.39 eV/cell

Compound: Pm14NdY
Source: Alexandria via LeMat-Bulk
Functional: GGA-PBE
Structure: optimized geometry

CIF file:
```
data_Pm14NdY
_chemical_formula_sum 'Pm14 Nd1 Y1'
_space_group_name_H-M_alt 'P 4/m m m'
_space_group_IT_number 123
_space_group_name_Hall '-P 4 2'
_cell_length_a 7.304
_cell_length_b 7.304
_cell_length_c 10.305
_cell_angle_alpha 90.00
_cell_angle_beta 90.00
_cell_angle_gamma 90.00
loop_
_atom_site_label
_atom_site_fract_x
_atom_site_fract_y
_atom_site_fract_z
_atom_site_occupancy
Pm1 0.000 0.000 0.000 1
Pm2 0.000 0.500 0.000 1
Pm3 0.000 0.500 0.500 1
Pm4 0.249 0.249 0.250 1
Pm5 0.500 0.500 0.000 1
Nd1 0.500 0.500 0.500 1
Y1 0.000 0.000 0.500 1
```

Output
DFT formation energy = 0.013 eV per atom
Crystal system = tetragonal
Raw total energy = -77.53 eV/cell

Compound: PmNd4Y3
Source: Alexandria via LeMat-Bulk
Functional: GGA-PBE
Structure: optimized geometry

CIF file:
```
data_PmNd4Y3
_chemical_formula_sum 'Pm2 Nd8 Y6'
_space_group_name_H-M_alt 'C 1 2/m 1'
_space_group_IT_number 12
_cell_length_a 23.922
_cell_length_b 3.490
_cell_length_c 6.898
_cell_angle_alpha 90.00
_cell_angle_beta 106.27
_cell_angle_gamma 90.00
loop_
_space_group_symop_operation_xyz
'x,y,z'
'-x,-y,-z'
'-x,y,-z'
'x,-y,z'
'x+1/2,y+1/2,z'
'-x+1/2,-y+1/2,-z'
'-x+1/2,y+1/2,-z'
'x+1/2,-y+1/2,z'
loop_
_atom_site_label
_atom_site_fract_x
_atom_site_fract_y
_atom_site_fract_z
_atom_site_occupancy
Pm1 0.000 0.000 0.000 1
Nd1 0.124 0.500 0.369 1
Nd2 0.241 0.000 0.238 1
Y1 0.000 0.500 0.500 1
Y2 0.124 0.500 0.881 1
```

Output
Relative energy among the computed polymorphs = 141.8 meV per atom
DFT formation energy = 0.166 eV per atom
Crystal system = monoclinic
Raw total energy = -83.78 eV/cell

Compound: PmNdYZn
Source: Alexandria via LeMat-Bulk
Functional: GGA-PBE
Structure: optimized geometry

CIF file:
```
data_PmNdYZn
_chemical_formula_sum 'Pm4 Nd4 Y4 Zn4'
_space_group_name_H-M_alt 'F -4 3 m'
_space_group_IT_number 216
_space_group_name_Hall 'F -4 2 3'
_cell_length_a 7.700
_cell_length_b 7.700
_cell_length_c 7.700
_cell_angle_alpha 90.00
_cell_angle_beta 90.00
_cell_angle_gamma 90.00
loop_
_atom_site_label
_atom_site_fract_x
_atom_site_fract_y
_atom_site_fract_z
_atom_site_occupancy
Pm1 0.000 0.000 0.000 1
Nd1 0.250 0.250 0.250 1
Y1 0.250 0.250 0.750 1
Zn1 0.000 0.000 0.500 1
```

Output
Relative energy among the computed polymorphs = 233.0 meV per atom
DFT formation energy = 0.074 eV per atom
Crystal system = cubic
Raw total energy = -67.85 eV/cell

Compound: PmNdYZn
Source: Alexandria via LeMat-Bulk
Functional: GGA-PBE
Structure: optimized geometry

CIF file:
```
data_PmNdYZn
_chemical_formula_sum 'Pm1 Nd1 Y1 Zn1'
_space_group_name_H-M_alt 'P 4 m m'
_space_group_IT_number 99
_cell_length_a 3.635
_cell_length_b 3.635
_cell_length_c 8.797
_cell_angle_alpha 90.00
_cell_angle_beta 90.00
_cell_angle_gamma 90.00
loop_
_space_group_symop_operation_xyz
'x,y,z'
'-y,x,z'
'-x,-y,z'
'y,-x,z'
'-x,y,z'
'y,x,z'
'x,-y,z'
'-y,-x,z'
loop_
_atom_site_label
_atom_site_fract_x
_atom_site_fract_y
_atom_site_fract_z
_atom_site_occupancy
Pm1 0.000 0.000 0.000 1
Nd1 0.500 0.500 0.299 1
Y1 0.000 0.000 0.592 1
Zn1 0.500 0.500 0.786 1
```

Output
Relative energy among the computed polymorphs = 0.0 meV per atom
DFT formation energy = -0.159 eV per atom
Crystal system = tetragonal
Raw total energy = -17.89 eV/cell

Which formula does entry 7 have? Pm14NdY